Entry 1:
{
  "formula": "Tb4Ce3YS8",
  "functional": "PBE",
  "state": "relaxed",
  "e_form_raw_mev_per_atom": -2029,
  "e_tot_ev_per_atom": -6.7665,
  "crystal_system": "trigonal",
  "magnetic_moment_mub_per_fu": 1.8,
  "cell": [[3.957, 2.285, 6.485], [-3.957, 2.285, 6.485], [0.000, -4.569, 6.485]],
  "species": ["Tb", "Tb", "Tb", "Tb", "Ce", "Ce", "Ce", "Y", "S", "S", "S", "S", "S", "S", "S", "S"],
  "fractional_positions": [[0.000, 0.000, 0.000], [0.000, 0.500, 0.500], [0.500, 0.000, 0.500], [0.500, 0.500, 0.000], [0.000, 0.000, 0.500], [0.000, 0.500, 0.000], [0.500, 0.000, 0.000], [0.500, 0.500, 0.500], [0.250, 0.250, 0.744], [0.250, 0.744, 0.250], [0.253, 0.253, 0.253], [0.256, 0.750, 0.750], [0.744, 0.250, 0.250], [0.747, 0.747, 0.747], [0.750, 0.256, 0.750], [0.750, 0.750, 0.256]]
}

Entry 2:
{
  "formula": "Tb2CeY3S6",
  "functional": "PBE",
  "state": "relaxed",
  "e_form_raw_mev_per_atom": -2013,
  "e_tot_ev_per_atom": -6.9586,
  "crystal_system": "monoclinic",
  "magnetic_moment_mub_per_fu": 0.9,
  "cell": [[8.584, -1.963, 0.000], [8.584, 1.963, 0.000], [-1.826, 0.000, 7.697]],
  "species": ["Tb", "Tb", "Ce", "Y", "Y", "Y", "S", "S", "S", "S", "S", "S"],
  "fractional_positions": [[0.165, 0.165, 0.330], [0.835, 0.835, 0.670], [0.500, 0.500, 0.000], [0.165, 0.165, 0.835], [0.500, 0.500, 0.500], [0.835, 0.835, 0.165], [0.000, 0.000, 0.258], [0.000, 0.000, 0.742], [0.330, 0.330, 0.916], [0.333, 0.333, 0.416], [0.667, 0.667, 0.584], [0.670, 0.670, 0.084]]
}

Entry 3:
{
  "formula": "TbCeYS3",
  "functional": "PBE",
  "state": "relaxed",
  "e_form_raw_mev_per_atom": -1947,
  "e_tot_ev_per_atom": -6.8486,
  "crystal_system": "monoclinic",
  "magnetic_moment_mub_per_fu": 0.7,
  "cell": [[6.828, 0.000, 0.000], [0.000, 3.871, 0.000], [-2.267, 0.000, 10.124]],
  "species": ["Tb", "Tb", "Ce", "Ce", "Y", "Y", "S", "S", "S", "S", "S", "S"],
  "fractional_positions": [[0.233, 0.250, 0.444], [0.767, 0.750, 0.556], [0.347, 0.750, 0.806], [0.653, 0.250, 0.194], [0.127, 0.750, 0.132], [0.873, 0.250, 0.868], [0.054, 0.250, 0.658], [0.274, 0.250, 0.997], [0.453, 0.750, 0.337], [0.547, 0.250, 0.663], [0.726, 0.750, 0.003], [0.946, 0.750, 0.342]]
}

Entry 4:
{
  "formula": "TbCe2Y3S6",
  "functional": "PBE",
  "state": "relaxed",
  "e_form_raw_mev_per_atom": -2023,
  "e_tot_ev_per_atom": -7.0777,
  "crystal_system": "monoclinic",
  "magnetic_moment_mub_per_fu": 1.5,
  "cell": [[3.415, -5.922, 0.000], [3.415, 5.922, 0.000], [-2.288, 0.000, 6.488]],
  "species": ["Tb", "Ce", "Ce", "Y", "Y", "Y", "S", "S", "S", "S", "S", "S"],
  "fractional_positions": [[0.000, 0.000, 0.000], [0.334, 0.666, 0.000], [0.666, 0.334, 0.000], [0.166, 0.834, 0.500], [0.500, 0.500, 0.500], [0.834, 0.166, 0.500], [0.086, 0.415, 0.257], [0.243, 0.243, 0.743], [0.415, 0.086, 0.257], [0.585, 0.914, 0.743], [0.757, 0.757, 0.257], [0.914, 0.585, 0.743]]
}

Entry 5:
{
  "formula": "TbCeY2S4",
  "functional": "PBE",
  "state": "relaxed",
  "e_form_raw_mev_per_atom": -2017,
  "e_tot_ev_per_atom": -7.0177,
  "crystal_system": "monoclinic",
  "magnetic_moment_mub_per_fu": 0.7,
  "cell": [[6.843, 0.000, 0.000], [0.000, 3.928, 0.000], [-2.260, 0.000, 6.469]],
  "species": ["Tb", "Ce", "Y", "Y", "S", "S", "S", "S"],
  "fractional_positions": [[0.000, 0.000, 0.000], [0.500, 0.500, 0.000], [0.000, 0.500, 0.500], [0.500, 0.000, 0.500], [0.244, 0.000, 0.743], [0.247, 0.500, 0.254], [0.753, 0.500, 0.746], [0.756, 0.000, 0.257]]
}

Entry 6:
{
  "formula": "Tb4CeY3S8",
  "functional": "PBE",
  "state": "relaxed",
  "e_form_raw_mev_per_atom": -2011,
  "e_tot_ev_per_atom": -6.8152,
  "crystal_system": "trigonal",
  "magnetic_moment_mub_per_fu": 0.0,
  "cell": [[3.936, 2.273, 6.422], [-3.936, 2.273, 6.422], [0.000, -4.545, 6.422]],
  "species": ["Tb", "Tb", "Tb", "Tb", "Ce", "Y", "Y", "Y", "S", "S", "S", "S", "S", "S", "S", "S"],
  "fractional_positions": [[0.000, 0.000, 0.000], [0.000, 0.500, 0.500], [0.500, 0.000, 0.500], [0.500, 0.500, 0.000], [0.500, 0.500, 0.500], [0.000, 0.000, 0.500], [0.000, 0.500, 0.000], [0.500, 0.000, 0.000], [0.247, 0.752, 0.752], [0.248, 0.248, 0.753], [0.248, 0.753, 0.248], [0.250, 0.250, 0.250], [0.750, 0.750, 0.750], [0.752, 0.247, 0.752], [0.752, 0.752, 0.247], [0.753, 0.248, 0.248]]
}

Entry 7:
{
  "formula": "Tb2Ce3YS6",
  "functional": "PBE",
  "state": "relaxed",
  "e_form_raw_mev_per_atom": -2036,
  "e_tot_ev_per_atom": -6.8934,
  "crystal_system": "monoclinic",
  "magnetic_moment_mub_per_fu": 2.5,
  "cell": [[3.427, -5.941, 0.000], [3.427, 5.941, 0.000], [-2.290, 0.000, 6.548]],
  "species": ["Tb", "Tb", "Ce", "Ce", "Ce", "Y", "S", "S", "S", "S", "S", "S"],
  "fractional_positions": [[0.167, 0.833, 0.000], [0.833, 0.167, 0.000], [0.000, 0.000, 0.500], [0.333, 0.667, 0.500], [0.667, 0.333, 0.500], [0.500, 0.500, 0.000], [0.087, 0.420, 0.760], [0.247, 0.247, 0.240], [0.420, 0.087, 0.760], [0.580, 0.913, 0.240], [0.753, 0.753, 0.760], [0.913, 0.580, 0.240]]
}

Entry 8:
{
  "formula": "CeTc6S8",
  "functional": "PBE",
  "state": "relaxed",
  "e_form_raw_mev_per_atom": -704,
  "e_tot_ev_per_atom": -7.4477,
  "crystal_system": "trigonal",
  "magnetic_moment_mub_per_fu": 0.5,
  "cell": [[4.461, 2.576, 3.749], [-4.461, 2.576, 3.749], [0.000, -5.152, 3.749]],
  "species": ["Ce", "Tc", "Tc", "Tc", "Tc", "Tc", "Tc", "S", "S", "S", "S", "S", "S", "S", "S"],
  "fractional_positions": [[0.000, 0.000, 0.000], [0.217, 0.570, 0.413], [0.413, 0.217, 0.570], [0.430, 0.587, 0.783], [0.570, 0.413, 0.217], [0.587, 0.783, 0.430], [0.783, 0.430, 0.587], [0.124, 0.368, 0.762], [0.238, 0.876, 0.632], [0.247, 0.247, 0.247], [0.368, 0.762, 0.124], [0.632, 0.238, 0.876], [0.753, 0.753, 0.753], [0.762, 0.124, 0.368], [0.876, 0.632, 0.238]]
}

Entry 9:
{
  "formula": "CeTeS3",
  "functional": "PBE",
  "state": "relaxed",
  "e_form_raw_mev_per_atom": -912,
  "e_tot_ev_per_atom": -5.2034,
  "crystal_system": "monoclinic",
  "magnetic_moment_mub_per_fu": 0.1,
  "cell": [[3.994, 0.000, 0.000], [0.000, 9.329, 0.000], [-1.855, 0.000, 7.587]],
  "species": ["Ce", "Ce", "Te", "Te", "S", "S", "S", "S", "S", "S"],
  "fractional_positions": [[0.232, 0.250, 0.049], [0.768, 0.750, 0.951], [0.279, 0.750, 0.354], [0.721, 0.250, 0.646], [0.145, 0.750, 0.714], [0.353, 0.574, 0.131], [0.353, 0.926, 0.131], [0.647, 0.074, 0.869], [0.647, 0.426, 0.869], [0.855, 0.250, 0.286]]
}

Entry 10:
{
  "formula": "CeTeS4",
  "functional": "PBE",
  "state": "relaxed",
  "e_form_raw_mev_per_atom": -716,
  "e_tot_ev_per_atom": -4.9801,
  "crystal_system": "monoclinic",
  "magnetic_moment_mub_per_fu": 0.2,
  "cell": [[6.696, 0.000, 0.000], [0.000, 6.537, 0.000], [-0.967, 0.000, 6.673]],
  "species": ["Ce", "Ce", "Te", "Te", "S", "S", "S", "S", "S", "S", "S", "S"],
  "fractional_positions": [[0.000, 0.000, 0.000], [0.000, 0.500, 0.500], [0.500, 0.000, 0.500], [0.500, 0.500, 0.000], [0.197, 0.205, 0.326], [0.197, 0.295, 0.826], [0.291, 0.717, 0.254], [0.291, 0.783, 0.754], [0.709, 0.217, 0.246], [0.709, 0.283, 0.746], [0.803, 0.705, 0.174], [0.803, 0.795, 0.674]]
}

Entry 11:
{
  "formula": "CeTeS",
  "functional": "PBE",
  "state": "relaxed",
  "polymorph_energy_mev_per_atom": 214,
  "e_form_raw_mev_per_atom": -1306,
  "e_tot_ev_per_atom": -5.7075,
  "crystal_system": "orthorhombic",
  "magnetic_moment_mub_per_fu": 0.2,
  "cell": [[4.630, 0.000, 0.000], [0.000, 8.049, 0.000], [0.000, 0.000, 8.863]],
  "species": ["Ce", "Ce", "Ce", "Ce", "Te", "Te", "Te", "Te", "S", "S", "S", "S"],
  "fractional_positions": [[0.000, 0.165, 0.250], [0.000, 0.835, 0.750], [0.500, 0.335, 0.750], [0.500, 0.665, 0.250], [0.000, 0.500, 0.000], [0.000, 0.500, 0.500], [0.500, 0.000, 0.000], [0.500, 0.000, 0.500], [0.000, 0.168, 0.750], [0.000, 0.832, 0.250], [0.500, 0.332, 0.250], [0.500, 0.668, 0.750]]
}

Entry 12:
{
  "formula": "CeTeS2",
  "functional": "PBE",
  "state": "relaxed",
  "e_form_raw_mev_per_atom": 33,
  "e_tot_ev_per_atom": -4.2993,
  "crystal_system": "trigonal",
  "magnetic_moment_mub_per_fu": 1.5,
  "cell": [[4.273, 0.000, 0.000], [-2.136, 3.700, 0.000], [0.000, 0.000, 24.104]],
  "species": ["Ce", "Ce", "Ce", "Te", "Te", "Te", "S", "S", "S", "S", "S", "S"],
  "fractional_positions": [[0.000, 0.000, 0.000], [0.333, 0.667, 0.667], [0.667, 0.333, 0.333], [0.000, 0.000, 0.500], [0.333, 0.667, 0.167], [0.667, 0.333, 0.833], [0.000, 0.000, 0.113], [0.000, 0.000, 0.887], [0.333, 0.667, 0.553], [0.333, 0.667, 0.780], [0.667, 0.333, 0.220], [0.667, 0.333, 0.447]]
}